Below is La2DyMg after structural relaxation, with properties calculated at the GGA-PBE level. Values from VASP.

```
&SYSTEM
  ibrav = 0, nat = 4, ntyp = 3
/
ATOMIC_SPECIES
La 138.91 La.upf
Dy 162.50 Dy.upf
Mg 24.30 Mg.upf
CELL_PARAMETERS angstrom
0.0000 4.0271 4.0271
4.0271 0.0000 4.0271
4.0271 4.0271 0.0000
ATOMIC_POSITIONS angstrom
La 2.0135 2.0135 2.0135
La 6.0406 6.0406 6.0406
Dy 0.0000 0.0000 0.0000
Mg 4.0271 4.0271 4.0271
```

**Energy relative to the elements**: 2 kJ/mol of formula units
**Symmetry**: No. 225
**Magnetization**: 0.0 μB/f.u.
**DOS at the Fermi energy**: 1.191 states/eV/atom